(1)
Density functional theory data (GGA-PBE) for an optimized crystal structure of AgBr3.

Values from the calculation:
- Energy relative to the elements, uncorrected: 0.145 eV per atom
- Density: 5.20 g/cm³
- Density of states at the Fermi level: 5.9 states/eV per cell
- Total DFT energy (no corrections): -1.8225 eV per atom

Structure (extended XYZ):
```
4
Lattice="-2.238 2.813 -1.637 -0.563 -3.786 -0.972 -5.431 -0.763 6.113" Properties=species:S:1:pos:R:3 pbc="T T T"
Br -2.772 0.460 -0.185
Ag 0.000 0.000 0.000
Br -6.017 0.004 3.468
Br -2.715 -0.381 3.057
```


(2)
Density functional theory data (GGA-PBE) for an optimized crystal structure of Pm5Sm5Tl.

Values from the calculation:
- DFT formation energy: 0.2906 eV per atom
- Density: 7.33 g/cm³
- Density of states at the Fermi level: 19.7 states/eV per cell
- Total DFT energy (no corrections): -4.2289 eV per atom

Structure (extended XYZ):
```
11
Lattice="-2.569 -4.778 -2.988 5.607 2.038 -1.661 4.841 -7.255 7.439" Properties=species:S:1:pos:R:3 pbc="T T T"
Sm 0.000 0.000 0.000
Tl 2.882 -0.234 -2.103
Sm 6.307 -5.367 3.160
Pm 3.990 -6.248 0.142
Sm 4.297 -2.355 0.072
Sm 1.024 -3.806 -1.212
Sm 4.130 -8.461 3.560
Pm 2.500 -4.905 2.422
Pm 1.241 -7.247 0.957
Pm 3.553 -5.325 5.460
Pm 1.288 -1.930 1.979
```


(3)
Density functional theory data (GGA-PBE) for an optimized crystal structure of PmY3Zn4.

Values from the calculation:
- DFT formation energy: -0.3457 eV per atom
- Density: 5.99 g/cm³
- Density of states at the Fermi level: 18.6 states/eV per cell
- Total DFT energy (no corrections): -4.0006 eV per atom

Structure (extended XYZ):
```
16
Lattice="-3.778 0.680 -3.324 -3.770 -5.290 3.202 -4.254 6.801 6.226" Properties=species:S:1:pos:R:3 pbc="T T T"
Zn -4.114 3.809 5.450
Pm -4.012 0.756 4.714
Y 0.000 0.000 0.000
Pm -1.885 -2.645 1.601
Y -4.836 -0.605 1.496
Y -2.951 2.040 -0.104
Zn -5.760 1.088 -0.983
Y -6.965 2.796 4.608
Y -2.127 3.401 3.113
Zn -6.865 -0.257 3.871
Y -5.082 5.441 3.006
Zn -7.688 -1.617 0.654
Zn -2.810 -0.952 -0.880
Zn -6.042 1.104 7.088
Zn -4.738 -3.657 0.758
Zn -4.937 2.448 2.233
```